[1]
This record from the Alexandria database describes crystalline CaLa2Sc at its relaxed geometry. The functional is PBEsol.

Formation enthalpy at 0 K in eV per atom: 0.118
D(E_F) in states/eV per atom: 1.472
Uncorrected energy in eV per cell: -18.96
Size of the total moment in μB per atom: 0.0000

a b c (Å): 3.546 5.053 7.176
angles (deg): 90.00 90.00 90.00
Sites, in units of the cell vectors:
Ca 0.000 0.000 0.000
La 0.000 0.000 0.510
La 0.500 0.500 0.286
Sc 0.500 0.500 0.746

---

[2]
This record from the Alexandria database describes crystalline CaLa2Sc at its relaxed geometry. The functional is PBEsol.

Formation enthalpy at 0 K in eV per atom: 0.070
D(E_F) in states/eV per atom: 1.291
Uncorrected energy in eV per cell: -57.45
Size of the total moment in μB per atom: 0.0000

a b c (Å): 3.558 3.558 35.194
angles (deg): 90.00 90.00 120.00
Sites, in units of the cell vectors:
Ca 0.000 0.000 0.000
Ca 0.333 0.667 0.667
Ca 0.667 0.333 0.333
La 0.000 0.000 0.243
La 0.000 0.000 0.757
La 0.333 0.667 0.424
La 0.333 0.667 0.909
La 0.667 0.333 0.091
La 0.667 0.333 0.576
Sc 0.000 0.000 0.500
Sc 0.333 0.667 0.167
Sc 0.667 0.333 0.833

---

[3]
This record from the Alexandria database describes crystalline CaLa2Sc at its relaxed geometry. The functional is PBEsol.

Formation enthalpy at 0 K in eV per atom: 0.146
D(E_F) in states/eV per atom: 1.464
Uncorrected energy in eV per cell: -37.70
Size of the total moment in μB per atom: 0.0001

a b c (Å): 3.893 5.785 11.557
angles (deg): 90.00 90.00 90.00
Sites, in units of the cell vectors:
Ca 0.000 0.000 0.000
Ca 0.500 0.500 0.500
La 0.000 0.000 0.533
La 0.000 0.500 0.767
La 0.500 0.000 0.267
La 0.500 0.500 0.033
Sc 0.000 0.500 0.266
Sc 0.500 0.000 0.766

---

[4]
This record from the Alexandria database describes crystalline CaLa2Sc at its relaxed geometry. The functional is PBEsol.

Formation enthalpy at 0 K in eV per atom: 0.170
D(E_F) in states/eV per atom: 1.825
Uncorrected energy in eV per cell: -37.50
Size of the total moment in μB per atom: 0.0000

a b c (Å): 3.683 5.868 11.930
angles (deg): 90.00 90.00 90.00
Sites, in units of the cell vectors:
Ca 0.000 0.000 0.000
Ca 0.500 0.500 0.000
La 0.000 0.000 0.533
La 0.000 0.500 0.271
La 0.500 0.000 0.271
La 0.500 0.500 0.533
Sc 0.000 0.500 0.760
Sc 0.500 0.000 0.760

---

[5]
This record from the Alexandria database describes crystalline CaLa2Sc at its relaxed geometry. The functional is PBEsol.

Formation enthalpy at 0 K in eV per atom: 0.078
D(E_F) in states/eV per atom: 1.434
Uncorrected energy in eV per cell: -19.12
Size of the total moment in μB per atom: 0.0001

a b c (Å): 3.661 3.661 9.815
angles (deg): 90.00 90.00 90.00
Sites, in units of the cell vectors:
Ca 0.000 0.000 0.000
La 0.500 0.500 0.279
La 0.500 0.500 0.721
Sc 0.000 0.000 0.500

---

[6]
This record from the Alexandria database describes crystalline CaLaSe at its relaxed geometry. The functional is PBEsol.

D(E_F) in states/eV per atom: 1.041
Uncorrected energy in eV per cell: -29.13
Size of the total moment in μB per atom: 0.0001
Energy relative to the elements, uncorrected in eV/atom: -1.08

a b c (Å): 3.631 3.631 13.382
angles (deg): 90.00 90.00 90.00
Sites, in units of the cell vectors:
Ca 0.000 0.000 0.000
Ca 0.500 0.500 0.500
La 0.000 0.000 0.263
La 0.500 0.500 0.763
Se 0.000 0.000 0.631
Se 0.500 0.500 0.131

---

[7]
This record from the Alexandria database describes crystalline CaLaSe2 at its relaxed geometry. The functional is PBEsol.

D(E_F) in states/eV per atom: 0.386
Uncorrected energy in eV per cell: -69.46
Size of the total moment in μB per atom: 0.0000
Energy relative to the elements, uncorrected in eV/atom: -1.99

a b c (Å): 4.179 4.179 20.780
angles (deg): 90.00 90.00 120.00
Sites, in units of the cell vectors:
Ca 0.000 0.000 0.000
Ca 0.333 0.667 0.667
Ca 0.667 0.333 0.333
La 0.000 0.000 0.500
La 0.333 0.667 0.167
La 0.667 0.333 0.833
Se 0.000 0.000 0.254
Se 0.000 0.000 0.746
Se 0.333 0.667 0.413
Se 0.333 0.667 0.920
Se 0.667 0.333 0.080
Se 0.667 0.333 0.587

---

[8]
This record from the Alexandria database describes crystalline CaLaSe2 at its relaxed geometry. The functional is PBEsol.

D(E_F) in states/eV per atom: 0.311
Uncorrected energy in eV per cell: -23.18
Size of the total moment in μB per atom: 0.0000
Energy relative to the elements, uncorrected in eV/atom: -2.00

a b c (Å): 4.210 4.210 5.963
angles (deg): 90.00 90.00 90.00
Sites, in units of the cell vectors:
Ca 0.000 0.000 0.000
La 0.500 0.500 0.500
Se 0.000 0.000 0.500
Se 0.500 0.500 0.000